No. 1
This record from Alexandria via LeMat-Bulk describes an optimized crystal structure of K2CeUSe6. The functional is PBE-GGA.

Cell and atoms, written as CIF:
```
data_K2CeUSe6
_space_group_name_H-M_alt 'P 1 21/c 1'
_space_group_IT_number 14
_cell_length_a 7.622
_cell_length_b 7.736
_cell_length_c 13.283
_cell_angle_alpha 90.00
_cell_angle_beta 124.89
_cell_angle_gamma 90.00
loop_
_space_group_symop_operation_xyz
'x,y,z'
'-x,-y,-z'
'-x,y+1/2,-z+1/2'
'x,-y+1/2,z+1/2'
loop_
_atom_site_label
_atom_site_type_symbol
_atom_site_fract_x
_atom_site_fract_y
_atom_site_fract_z
K1 K 0.240 0.040 0.250
Ce1 Ce 0.500 0.000 0.000
U1 U 0.000 0.000 0.500
Se1 Se 0.175 0.220 0.969
Se2 Se 0.250 0.707 0.970
Se3 Se 0.302 0.009 0.743
```

Results
- Raw total energy: -5.29 eV per atom

=====

No. 2
This record from Alexandria via LeMat-Bulk describes an optimized crystal structure of Pa2CuPt8. The functional is PBE-GGA.

Cell and atoms, written as CIF:
```
data_Pa2CuPt8
_space_group_name_H-M_alt 'P 4/m m m'
_space_group_IT_number 123
_space_group_name_Hall '-P 4 2'
_cell_length_a 4.191
_cell_length_b 4.191
_cell_length_c 11.156
_cell_angle_alpha 90.00
_cell_angle_beta 90.00
_cell_angle_gamma 90.00
loop_
_atom_site_label
_atom_site_type_symbol
_atom_site_fract_x
_atom_site_fract_y
_atom_site_fract_z
Pa1 Pa 0.000 0.000 0.193
Cu1 Cu 0.000 0.000 0.500
Pt1 Pt 0.000 0.500 0.000
Pt2 Pt 0.000 0.500 0.363
Pt3 Pt 0.500 0.500 0.181
```

Results
- Fermi-level density of states: 4.38 states/eV/f.u.
- Raw total energy: -7.21 eV per atom